# Na5Li2Hg4

An optimized crystal structure of Na5Li2Hg4 (PBE, the Alexandria database).

Structure (CIF):
```
data_Na5Li2Hg4
_chemical_formula_sum 'Na10 Li4 Hg8'
_symmetry_space_group_name_H-M 'C 1 2/m 1'
_symmetry_Int_Tables_number 12
_symmetry_space_group_name_Hall '-C 2y'
_cell_length_a 21.517
_cell_length_b 3.382
_cell_length_c 8.877
_cell_angle_alpha 90.00
_cell_angle_beta 114.13
_cell_angle_gamma 90.00
loop_
_atom_site_label
_atom_site_type_symbol
_atom_site_fract_x
_atom_site_fract_y
_atom_site_fract_z
Na1 Na 0.000 0.000 0.000
Na2 Na 0.157 0.500 0.369
Na3 Na 0.158 0.500 0.945
Li1 Li 0.076 0.000 0.576
Hg1 Hg 0.000 0.500 0.305
Hg2 Hg 0.215 0.000 0.715
```

Distance to the lowest polymorph of the same formula (eV/atom): 0.0294
E_tot (Ry per atom): -0.0912
DFT formation energy (meV/atom): -183.0